Computed, not measured: a geometry-optimized LiFePO4 structure at the PBE with a Hubbard U level of DFT.

Unit cell a=5.065 b=9.048 c=8.911 alpha=90.00 beta=91.29 gamma=90.00
Space group Cc (No. 9)
Symmetry-distinct sites (fractional):
Li: 0.000 0.202 0.000 [4 per cell]
Fe: 0.498 0.306 0.197 [4 per cell]
P: 0.499 0.361 0.845 [4 per cell]
O: 0.294 0.184 0.349 [4 per cell]
O: 0.360 0.300 0.700 [4 per cell]
O: 0.361 0.295 0.986 [4 per cell]
O: 0.482 0.468 0.351 [4 per cell]

Values from the calculation:
- Total DFT energy (no corrections): -6.790 eV per atom
- Energy above the lowest structure with this stoichiometry: 43 meV/atom